SrTaHg | PBE | relaxed

Geometry as POSCAR:
```
SrTaHg
1.0
5.1192 0.0000 0.0000
-2.5596 4.4333 0.0000
0.0000 0.0000 3.3579
Sr Hg Ta
1 1 1
Direct
0.6667 0.3333 0.3332
0.0000 0.0000 0.8336
0.3333 0.6667 0.8333
```

Calculated volume in Å³/f.u.: 76
M_tot in μB per formula unit: 0.00
Crystal system: hexagonal
Distance to the lowest polymorph of the same formula in kJ/mol of atoms: 14.6
Space group: P-6m2, No. 187